a:
# BaH2Au2

An optimized crystal structure of BaH2Au2 (PBE, Alexandria).

abc: 7.991 7.991 3.697
angles: 90.00 90.00 90.00
Element x y z (fractional)
H 0.137 0.363 0.500
H 0.637 0.137 0.500
H 0.363 0.863 0.500
H 0.863 0.637 0.500
Au 0.127 0.373 0.000
Au 0.627 0.127 0.000
Au 0.373 0.873 0.000
Au 0.873 0.627 0.000
Ba 0.500 0.500 0.000
Ba 0.000 0.000 0.000

- V (Å³ per atom) = 23.6

---

b:
# BaH2Au2

An optimized crystal structure of BaH2Au2 (PBE, Alexandria).

abc: 4.283 4.283 5.595
angles: 67.50 67.50 90.00
Element x y z (fractional)
H 0.750 0.250 0.500
H 0.250 0.750 0.500
Ba 0.000 0.000 0.000
Au 0.346 0.346 0.308
Au 0.654 0.654 0.692

- V (Å³ per atom) = 17.3

---

Least stable of them? a.

---

a:
# Ba2HgHAu

An optimized crystal structure of Ba2HgHAu (PBE, Alexandria).

abc: 5.881 5.881 4.033
angles: 90.00 90.00 90.00
Element x y z (fractional)
Au 0.000 0.000 0.500
Ba 0.000 0.500 0.000
Ba 0.500 0.000 0.000
H 0.000 0.000 0.000
Hg 0.500 0.500 0.500

- V (Å³ per atom) = 27.9

---

b:
# Ba2HgHAu

An optimized crystal structure of Ba2HgHAu (PBE, Alexandria).

abc: 5.595 5.595 4.462
angles: 90.00 90.00 90.00
Element x y z (fractional)
Au 0.500 0.500 0.500
Ba 0.500 0.000 0.000
Ba 0.000 0.500 0.000
H 0.000 0.000 0.000
Hg 0.000 0.000 0.500

- V (Å³ per atom) = 27.9

---

Least stable of them? b.

---

a:
# Ba2InHAu

An optimized crystal structure of Ba2InHAu (PBE, Alexandria).

abc: 5.667 5.667 4.463
angles: 90.00 90.00 90.00
Element x y z (fractional)
Ba 0.500 0.000 0.000
Ba 0.000 0.500 0.000
Au 0.500 0.500 0.500
In 0.000 0.000 0.500
H 0.000 0.000 0.000

- V (Å³ per atom) = 28.7

---

b:
# Ba2InHAu

An optimized crystal structure of Ba2InHAu (PBE, Alexandria).

abc: 5.918 5.918 4.077
angles: 90.00 90.00 90.00
Element x y z (fractional)
Ba 0.000 0.500 0.000
Ba 0.500 0.000 0.000
H 0.000 0.000 0.000
In 0.500 0.500 0.500
Au 0.000 0.000 0.500

- V (Å³ per atom) = 28.6

---

Least stable of them? a.

---

a:
# Ba2LiHAu

An optimized crystal structure of Ba2LiHAu (PBE, Alexandria).

abc: 5.844 5.844 4.116
angles: 90.00 90.00 90.00
Element x y z (fractional)
Ba 0.500 0.000 0.000
Ba 0.000 0.500 0.000
H 0.000 0.000 0.000
Au 0.000 0.000 0.500
Li 0.500 0.500 0.500

- V (Å³ per atom) = 28.1

---

b:
# Ba2LiHAu

An optimized crystal structure of Ba2LiHAu (PBE, Alexandria).

abc: 5.673 5.673 4.184
angles: 90.00 90.00 90.00
Element x y z (fractional)
Li 0.000 0.000 0.500
Au 0.500 0.500 0.500
Ba 0.000 0.500 0.000
Ba 0.500 0.000 0.000
H 0.000 0.000 0.000

- V (Å³ per atom) = 26.9

---

Least stable of them? a.

---

a:
# Ba2HPdAu

An optimized crystal structure of Ba2HPdAu (PBE, Alexandria).

abc: 5.734 5.734 3.842
angles: 90.00 90.00 90.00
Element x y z (fractional)
Ba 0.500 0.000 0.000
Ba 0.000 0.500 0.000
H 0.000 0.000 0.000
Pd 0.000 0.000 0.500
Au 0.500 0.500 0.500

- V (Å³ per atom) = 25.3

---

b:
# Ba2HPdAu

An optimized crystal structure of Ba2HPdAu (PBE, Alexandria).

abc: 5.660 5.660 3.969
angles: 90.00 90.00 90.00
Element x y z (fractional)
Au 0.000 0.000 0.500
Ba 0.000 0.500 0.000
Ba 0.500 0.000 0.000
Pd 0.500 0.500 0.500
H 0.000 0.000 0.000

- V (Å³ per atom) = 25.4

---

Least stable of them? b.

---

a:
# Ba2TlHAu

An optimized crystal structure of Ba2TlHAu (PBE, Alexandria).

abc: 5.917 5.917 4.089
angles: 90.00 90.00 90.00
Element x y z (fractional)
H 0.000 0.000 0.000
Tl 0.500 0.500 0.500
Ba 0.000 0.500 0.000
Ba 0.500 0.000 0.000
Au 0.000 0.000 0.500

- V (Å³ per atom) = 28.6

---

b:
# Ba2TlHAu

An optimized crystal structure of Ba2TlHAu (PBE, Alexandria).

abc: 5.641 5.641 4.578
angles: 90.00 90.00 90.00
Element x y z (fractional)
H 0.000 0.000 0.000
Tl 0.000 0.000 0.500
Ba 0.000 0.500 0.000
Ba 0.500 0.000 0.000
Au 0.500 0.500 0.500

- V (Å³ per atom) = 29.1

---

Least stable of them? b.